1.
First-principles (PBE-GGA) data for a relaxed structure of CrNi2W, as listed in the Alexandria database.

size of the total moment	0.9	μB/f.u.
distance to the lowest polymorph of the same formula	0.056	eV/atom
ΔH_f (0 K)	84.5	meV per atom
uncorrected energy	-67.602	eV/cell
mass density	11.8	g cm⁻³
D(E_F)	4.63	states/eV/f.u.

a = 5.0973 Å, b = 7.5399 Å, c = 2.5904 Å
α = 90.00°, β = 90.00°, γ = 90.00°
With the nearest neighbours (Å) after each atom.
Space group Cmmm (No. 65)
One atom of each set of equivalent atoms:
Cr  0.0000  0.0000  0.0000 [2 per cell]  2 W 2.55, 2 Cr 2.59, 8 Ni 2.62
Ni  0.2500  0.2500  0.5000 [4 per cell]  4 Ni 2.55-2.59, 4 Cr 2.62, 4 W 2.62
W  0.0000  0.5000  0.0000 [2 per cell]  2 Cr 2.55, 2 W 2.59, 8 Ni 2.62

=====

2.
First-principles (PBE-GGA) data for a relaxed structure of TmPCl, as listed in the Alexandria database.

size of the total moment	0.0	μB/f.u.
uncorrected energy	-64.221	eV/cell
raw formation energy	-1.442	eV per atom
mass density	5.0	g cm⁻³

a = 5.4221 Å, b = 5.2689 Å, c = 11.1053 Å
α = 90.00°, β = 95.76°, γ = 90.00°
With the nearest neighbours (Å) after each atom.
Space group C2/m (No. 12)
One atom of each set of equivalent atoms:
Tm  0.1005  0.0000  0.3321 [4 per cell]  1 Cl 2.50, 3 P 2.74-2.79
P  0.0939  0.5000  0.4151 [4 per cell]  1 P 2.23
Cl  0.2228  0.0000  0.8446 [4 per cell]  1 Tm 2.50

=====

3.
First-principles (PBE-GGA) data for a relaxed structure of CoAgBr2, as listed in the Alexandria database.

size of the total moment	2.1	μB/f.u.
distance to the lowest polymorph of the same formula	0.036	eV/atom
uncorrected energy	-39.525	eV/cell
raw formation energy	0.032	eV per atom
mass density	5.6	g cm⁻³
D(E_F)	5.71	states/eV/f.u.

a = 3.7527 Å, b = 3.7527 Å, c = 23.9493 Å
α = 90.00°, β = 90.00°, γ = 120.00°
With the nearest neighbours (Å) after each atom.
Space group R-3m (No. 166, hexagonal axes)
One atom of each set of equivalent atoms:
Co  0.0000  0.0000  0.0000 [3 per cell]  6 Br 2.58
Ag  0.0000  0.0000  0.5000 [3 per cell]  2 Br 2.59
Br  0.0000  0.0000  0.3917 [6 per cell]  3 Co 2.58, 1 Ag 2.59